Computed, not measured: a relaxed structure of CdPS3 at the PBE level of DFT.

Lattice parameters (Å, degrees): 6.280 6.905 12.924 90.00 116.76 90.00
Space group P2_1/c (No. 14)
One atom of each set of equivalent atoms:
1 Cd 0.248 0.100 0.327 [4 per cell]
2 P 0.138 0.094 0.572 [4 per cell]
3 S 0.074 0.724 0.861 [4 per cell]
4 S 0.265 0.207 0.001 [4 per cell]
5 S 0.372 0.586 0.196 [4 per cell]


Computed, not measured: a relaxed structure of CdP3S at the PBE level of DFT.

Lattice parameters (Å, degrees): 4.931 4.931 4.931 90.00 90.00 90.00
Space group Pm-3m (No. 221)
One atom of each set of equivalent atoms:
1 Cd 0.000 0.000 0.000 [1 per cell]
2 P 0.000 0.000 0.500 [3 per cell]
3 S 0.500 0.500 0.500 [1 per cell]

Properties
Relative energy among the computed polymorphs: 0.766 eV per atom


Computed, not measured: a relaxed structure of Cd2PS at the PBE level of DFT.

Lattice parameters (Å, degrees): 6.808 6.808 6.808 90.00 90.00 90.00
Space group Fm-3m (No. 225)
One atom of each set of equivalent atoms:
1 Cd 0.250 0.250 0.250 [8 per cell]
2 P 0.000 0.000 0.000 [4 per cell]
3 S 0.000 0.000 0.500 [4 per cell]


Computed, not measured: a relaxed structure of CdPS3 at the PBE level of DFT.

Lattice parameters (Å, degrees): 4.555 4.555 4.555 90.00 90.00 90.00
Space group Pm-3m (No. 221)
One atom of each set of equivalent atoms:
1 Cd 0.000 0.000 0.000 [1 per cell]
2 P 0.500 0.500 0.500 [1 per cell]
3 S 0.000 0.500 0.500 [3 per cell]


Computed, not measured: a relaxed structure of CdPS3 at the PBE level of DFT.

Lattice parameters (Å, degrees): 6.2891 6.2891 21.5627 90.00 90.00 120.00
Space group R-3 (No. 148, hexagonal axes)
One atom of each set of equivalent atoms:
1 Cd 0.0000 0.0000 0.1674 [6 per cell]
2 P 0.0000 0.0000 0.4477 [6 per cell]
3 S 0.0017 0.3121 0.5791 [18 per cell]


Computed, not measured: a relaxed structure of Cd2P2S7 at the PBE level of DFT.

Lattice parameters (Å, degrees): 8.081 13.084 12.406 90.00 101.17 90.00
Space group C2/c (No. 15)
One atom of each set of equivalent atoms:
1 Cd 0.165 0.017 0.417 [8 per cell]
2 P 0.201 0.463 0.830 [8 per cell]
3 S 0.000 0.439 0.250 [4 per cell]
4 S 0.128 0.081 0.621 [8 per cell]
5 S 0.150 0.386 0.961 [8 per cell]
6 S 0.233 0.139 0.277 [8 per cell]


Computed, not measured: a relaxed structure of Cd2PS at the PBE level of DFT.

Lattice parameters (Å, degrees): 6.007 6.007 11.549 90.00 90.00 90.00
Space group I-42d (No. 122)
One atom of each set of equivalent atoms:
1 Cd 0.246 0.250 0.125 [8 per cell]
2 P 0.000 0.000 0.000 [4 per cell]
3 S 0.000 0.000 0.500 [4 per cell]


Computed, not measured: a relaxed structure of CdSbPS2 at the PBE level of DFT.

Lattice parameters (Å, degrees): 4.973 4.973 5.153 90.00 90.00 90.00
Space group P4/mmm (No. 123)
One atom of each set of equivalent atoms:
1 Cd 0.000 0.000 0.000 [1 per cell]
2 Sb 0.500 0.500 0.500 [1 per cell]
3 P 0.500 0.500 0.000 [1 per cell]
4 S 0.000 0.500 0.500 [2 per cell]

Properties
Relative energy among the computed polymorphs: 0.177 eV per atom


Computed, not measured: a relaxed structure of CdSbPS2 at the PBE level of DFT.

Lattice parameters (Å, degrees): 4.731 4.731 4.896 90.00 90.00 90.00
Space group P4/mmm (No. 123)
One atom of each set of equivalent atoms:
1 Cd 0.000 0.000 0.000 [1 per cell]
2 Sb 0.500 0.500 0.000 [1 per cell]
3 P 0.000 0.000 0.500 [1 per cell]
4 S 0.000 0.500 0.500 [2 per cell]

Properties
Relative energy among the computed polymorphs: 0.000 eV per atom


Computed, not measured: a relaxed structure of CdSbPS2 at the PBE level of DFT.

Lattice parameters (Å, degrees): 4.923 4.923 4.961 90.00 90.00 90.00
Space group P4/mmm (No. 123)
One atom of each set of equivalent atoms:
1 Cd 0.000 0.000 0.000 [1 per cell]
2 Sb 0.500 0.500 0.500 [1 per cell]
3 P 0.000 0.000 0.500 [1 per cell]
4 S 0.000 0.500 0.000 [2 per cell]

Properties
Relative energy among the computed polymorphs: 0.385 eV per atom


Computed, not measured: a relaxed structure of ScCdPS2 at the PBE level of DFT.

Lattice parameters (Å, degrees): 4.874 4.874 5.078 90.00 90.00 90.00
Space group P4/mmm (No. 123)
One atom of each set of equivalent atoms:
1 Sc 0.000 0.000 0.000 [1 per cell]
2 Cd 0.500 0.500 0.500 [1 per cell]
3 P 0.000 0.000 0.500 [1 per cell]
4 S 0.000 0.500 0.000 [2 per cell]

Properties
Relative energy among the computed polymorphs: 0.000 eV per atom


Computed, not measured: a relaxed structure of ScCdPS2 at the PBE level of DFT.

Lattice parameters (Å, degrees): 4.905 4.905 4.875 90.00 90.00 90.00
Space group P4/mmm (No. 123)
One atom of each set of equivalent atoms:
1 Sc 0.000 0.000 0.000 [1 per cell]
2 Cd 0.500 0.500 0.500 [1 per cell]
3 P 0.500 0.500 0.000 [1 per cell]
4 S 0.000 0.500 0.500 [2 per cell]

Properties
Relative energy among the computed polymorphs: 0.479 eV per atom


Number 1: final energy -0.30262 Ry/atom, mass density 3.180 g/cm3, raw formation energy -0.376 eV per atom. Number 2: final energy -0.19362 Ry/atom, mass density 3.288 g/cm3, raw formation energy 1.620 eV per atom. Number 3: final energy -0.18463 Ry/atom, mass density 6.059 g/cm3, raw formation energy 0.330 eV per atom. Number 4: final energy -0.25425 Ry/atom, mass density 4.209 g/cm3, raw formation energy 0.282 eV per atom. Number 5: final energy -0.30504 Ry/atom, mass density 3.232 g/cm3, raw formation energy -0.409 eV per atom. Number 6: final energy -0.30240 Ry/atom, mass density 2.639 g/cm3, raw formation energy -0.338 eV per atom. Number 7: final energy -0.21741 Ry/atom, mass density 4.588 g/cm3, raw formation energy -0.116 eV per atom. Number 8: final energy -0.23159 Ry/atom, mass density 4.289 g/cm3, raw formation energy 0.589 eV per atom. Number 9: final energy -0.24464 Ry/atom, mass density 4.988 g/cm3, raw formation energy 0.412 eV per atom. Number 10: final energy -0.21632 Ry/atom, mass density 4.547 g/cm3, raw formation energy 0.797 eV per atom. Number 11: final energy -0.31761 Ry/atom, mass density 3.476 g/cm3, raw formation energy -0.139 eV per atom. Number 12: final energy -0.28244 Ry/atom, mass density 3.575 g/cm3, raw formation energy 0.340 eV per atom.